Entry from OQMD via LeMat-Bulk: a geometry-optimized KFeGe structure (PBE-GGA).

Cell: 7.100 7.100 7.100 Å, 90.00 90.00 90.00°
Space group F-43m (No. 216)
Symmetry-distinct sites (fractional):
K: 0.000 0.000 0.000 x4
Fe: 0.250 0.250 0.750 x4
Ge: 0.250 0.250 0.250 x4

Results
**E_tot**: -37.41 eV per cell